# LiFeP2, optimized geometry, DFT PBE-GGA
# E_form   -359 meV per atom
# Theoretical density   4.09 g cm⁻³
# Excess energy over the best structure of this formula in the dataset   0 meV per atom
# N(E_F)   2.4 states/eV/f.u.
# Symmetry   No. 8
data_LiFeP2
_chemical_formula_sum 'Li1 Fe1 P2'
_cell_length_a 3.757
_cell_length_b 3.757
_cell_length_c 5.110
_cell_angle_alpha 115.70
_cell_angle_beta 115.70
_cell_angle_gamma 53.36
_space_group_name_H-M_alt 'P 1'
_space_group_IT_number 1
loop_
_space_group_symop_operation_xyz
'x,y,z'
loop_
_atom_site_label
_atom_site_type_symbol
_atom_site_fract_x
_atom_site_fract_y
_atom_site_fract_z
_atom_site_occupancy
Li1 Li 0.000 0.000 0.000 1
Fe1 Fe 0.786 0.786 0.451 1
P1 P 0.181 0.181 0.674 1
P2 P 0.404 0.404 0.258 1